[1]
Material: EuGe2Mo
Method: DFT, PBE
State: relaxed

abc: 3.7024 3.7024 7.4747
angles: 75.66 75.66 60.00
Closest atoms and distances in Å follow each position.
Fractional coordinates of all 4 atoms:
Mo1 0.0000 0.0000 0.0000  6 Ge 2.60
Ge1 0.7353 0.7353 0.7941  3 Mo 2.60
Eu1 0.5000 0.5000 0.5000  6 Ge 3.00
Ge2 0.2647 0.2647 0.2059  3 Mo 2.60

formation energy from the elements = -152 meV/atom
ΔE to the lowest computed polymorph = 95 meV/atom
uncorrected energy = -7.74 eV/atom


[2]
Material: Tb2BiO2
Method: DFT, PBE
State: relaxed

abc: 7.3598 7.3598 7.3598
angles: 149.24 149.24 44.05
Closest atoms and distances in Å follow each position.
Fractional coordinates of all 5 atoms:
O1 0.2500 0.7500 0.5000  4 Tb 2.25
Tb1 0.3320 0.3320 0.0000  4 O 2.25
Bi1 0.0000 0.0000 0.0000  8 Tb 3.59, 4 Bi 3.90, 8 O 3.93
O2 0.7500 0.2500 0.5000  4 Tb 2.25
Tb2 0.6680 0.6680 0.0000  4 O 2.25

uncorrected energy = -7.30 eV/atom
formation energy without anion corrections = -2.69 eV per atom


[3]
Material: Nd4Ag2N
Method: DFT, PBE
State: relaxed

abc: 3.5910 7.0677 7.6571
angles: 107.02 90.00 90.00
Closest atoms and distances in Å follow each position.
Fractional coordinates of all 7 atoms:
Nd1 0.0000 0.6971 0.8808  1 N 2.62
N1 0.0000 0.0714 0.0715  6 Nd 2.48-2.62
Ag1 0.5000 0.7635 0.5513  1 Ag 2.82, 2 Nd 3.07-3.11
Ag2 0.5000 0.3793 0.5916  1 Ag 2.82, 2 Nd 3.07-3.11
Nd2 0.0000 0.4457 0.2621  1 N 2.62
Nd3 0.5000 0.0009 0.2672  2 N 2.48
Nd4 0.5000 0.1420 0.8757  2 N 2.48

uncorrected energy = -5.13 eV/atom
formation energy without anion corrections = -0.40 eV per atom


[4]
Material: TbSnRh
Method: DFT, PBE
State: relaxed

abc: 3.9169 7.5319 7.5319
angles: 120.00 90.00 90.00
Closest atoms and distances in Å follow each position.
Fractional coordinates of all 9 atoms:
Tb1 0.0000 0.0000 0.5924  5 Rh 3.01-3.07, 6 Sn 3.18-3.33
Tb2 0.0000 0.4076 0.4076  5 Rh 3.01-3.07, 6 Sn 3.18-3.33
Rh1 0.5000 0.3333 0.6667  3 Sn 2.83, 6 Tb 3.01
Sn1 0.5000 0.2591 0.0000  4 Rh 2.76-2.83
Rh2 0.5000 0.6667 0.3333  3 Sn 2.83, 6 Tb 3.01
Sn2 0.5000 0.0000 0.2591  4 Rh 2.76-2.83
Sn3 0.5000 0.7409 0.7409  4 Rh 2.76-2.83
Tb3 0.0000 0.5924 0.0000  5 Rh 3.01-3.07, 6 Sn 3.18-3.33
Rh3 0.0000 0.0000 0.0000  6 Sn 2.76, 3 Tb 3.07

formation energy from the elements = -901 meV/atom
uncorrected energy = -6.23 eV/atom